Computed, not measured: a relaxed TaInAu2 crystal at the PBE level of DFT.

Computed properties:
**VASP energy**: -20.606 eV/cell
**ΔH_f (0 K)**: 135 meV/atom
**Symmetry**: P2/m (10)
**Mass density**: 15.0 Mg/m³

POSCAR file:
```
TaInAu2
1.0
5.286 0.000 0.000
0.000 2.856 0.000
-1.871 0.000 5.040
Ta In Au
1 1 2
Direct
0.000 0.000 0.000
0.000 0.500 0.500
0.500 0.000 0.500
0.500 0.500 0.000
```


Computed, not measured: a relaxed MgCr2Tc crystal at the PBE level of DFT.

Computed properties:
**VASP energy**: -29.401 eV/cell
**ΔH_f (0 K)**: 452 meV/atom
**Symmetry**: R-3m (166)
**Mass density**: 6.6 Mg/m³

POSCAR file:
```
MgCr2Tc
1.0
1.362 0.786 8.907
-1.362 0.786 8.907
0.000 -1.573 8.907
Mg Cr Tc
1 2 1
Direct
0.000 0.000 0.000
0.244 0.244 0.244
0.756 0.756 0.756
0.500 0.500 0.500
```